A plane-wave DFT calculation with PBE was carried out for a relaxed structure of AcPrTlRu.

Cell: 5.4133 5.4133 5.4133 Å, 60.00 60.00 60.00°
Sites, in units of the cell vectors:
Ac (0.0000, 0.0000, 0.0000)
Pr (0.5000, 0.5000, 0.5000)
Tl (0.7500, 0.7500, 0.7500)
Ru (0.2500, 0.2500, 0.2500)

Values from the calculation:
ΔE_f (eV/atom): -0.055

A plane-wave DFT calculation with PBE was carried out for a relaxed structure of KCu2TcSe.

Cell: 4.9276 4.9276 4.6823 Å, 90.00 90.00 90.00°
Sites, in units of the cell vectors:
K (0.0000, 0.0000, 0.0000)
Cu (0.0000, 0.5000, 0.5000)
Cu (0.5000, 0.0000, 0.5000)
Tc (0.5000, 0.5000, 0.5000)
Se (0.5000, 0.5000, 0.0000)

Values from the calculation:
ΔE_f (raw) (eV per atom): 0.31

A plane-wave DFT calculation with PBE was carried out for a relaxed structure of Er3Al2Ag2.

Cell: 11.0744 11.0744 3.4503 Å, 90.00 90.00 158.03°
Sites, in units of the cell vectors:
Er (0.0000, 0.0000, 0.0000)
Er (0.1587, 0.8413, 0.0000)
Er (0.8413, 0.1587, 0.0000)
Al (0.2828, 0.7172, 0.5000)
Al (0.7172, 0.2828, 0.5000)
Ag (0.4199, 0.5801, 0.5000)
Ag (0.5801, 0.4199, 0.5000)

Values from the calculation:
ΔE_f (eV/atom): -0.307

A plane-wave DFT calculation with PBE was carried out for a relaxed structure of Pa6AsSe5.

Cell: 7.2906 7.2906 6.9509 Å, 100.39 100.39 123.32°
Sites, in units of the cell vectors:
Pa (0.0829, 0.4151, 0.7489)
Pa (0.2490, 0.2490, 0.2485)
Pa (0.4151, 0.0829, 0.7489)
Pa (0.5849, 0.9171, 0.2511)
Pa (0.7510, 0.7510, 0.7515)
Pa (0.9171, 0.5849, 0.2511)
As (0.5000, 0.5000, 0.0000)
Se (0.0000, 0.0000, 0.5000)
Se (0.1673, 0.8327, 0.0000)
Se (0.3343, 0.6657, 0.5000)
Se (0.6657, 0.3343, 0.5000)
Se (0.8327, 0.1673, 0.0000)

Values from the calculation:
ΔE_f (raw) (eV per atom): -1.19

A plane-wave DFT calculation with PBE was carried out for a relaxed structure of K2YMg.

Cell: 7.4585 7.4585 7.4585 Å, 141.07 141.07 56.24°
Sites, in units of the cell vectors:
K (0.2500, 0.7500, 0.5000)
K (0.7500, 0.2500, 0.5000)
Y (0.0000, 0.0000, 0.0000)
Mg (0.5000, 0.5000, 0.0000)

Values from the calculation:
ΔE_f (eV/atom): 0.460

A plane-wave DFT calculation with PBE was carried out for a relaxed structure of LiEu2Y.

Cell: 3.8168 3.8168 9.4671 Å, 90.00 90.00 90.00°
Sites, in units of the cell vectors:
Li (0.0000, 0.0000, 0.0000)
Eu (0.5000, 0.5000, 0.2270)
Eu (0.5000, 0.5000, 0.7730)
Y (0.0000, 0.0000, 0.5000)

Values from the calculation:
ΔE_f (eV/atom): 0.096
Energy above the lowest structure with this stoichiometry (meV/atom): 0